Compound: BaSbTe3
Source: Alexandria via LeMat-Bulk
Functional: PBE
Structure: optimized geometry

The structure in CIF format:
```
data_BaSbTe3
_chemical_formula_sum 'Ba1 Sb1 Te3'
_cell_length_a 5.815
_cell_length_b 5.815
_cell_length_c 5.815
_cell_angle_alpha 90.00
_cell_angle_beta 90.00
_cell_angle_gamma 90.00
_space_group_name_H-M_alt 'P m -3 m'
_space_group_IT_number 221
_space_group_name_Hall '-P 4 2 3'
loop_
_atom_site_label
_atom_site_type_symbol
_atom_site_fract_x
_atom_site_fract_y
_atom_site_fract_z
Ba1 Ba 0.000 0.000 0.000
Sb1 Sb 0.500 0.500 0.500
Te1 Te 0.000 0.500 0.500
```

Calculated values
For the formation energy (no corrections), the calculation gives -0.53 eV/atom. As for the electronic total energy: -18.099 eV for the cell shown. The value obtained for the size of the total moment is 0.000 μB per cell. The calculation puts the density of states at the Fermi level at 4.005 states/eV/cell.

***

Compound: Ba2SbTe
Source: Alexandria via LeMat-Bulk
Functional: PBE
Structure: optimized geometry

The structure in CIF format:
```
data_Ba2SbTe
_chemical_formula_sum 'Ba2 Sb1 Te1'
_cell_length_a 4.132
_cell_length_b 4.178
_cell_length_c 8.919
_cell_angle_alpha 90.00
_cell_angle_beta 90.00
_cell_angle_gamma 90.00
_space_group_name_H-M_alt 'P m m m'
_space_group_IT_number 47
loop_
_space_group_symop_operation_xyz
'x,y,z'
'-x,-y,-z'
'-x,-y,z'
'x,y,-z'
'x,-y,-z'
'-x,y,z'
'-x,y,-z'
'x,-y,z'
loop_
_atom_site_label
_atom_site_type_symbol
_atom_site_fract_x
_atom_site_fract_y
_atom_site_fract_z
Ba1 Ba 0.000 0.000 0.239
Sb1 Sb 0.500 0.500 0.500
Te1 Te 0.500 0.500 0.000
```

Calculated values
For the formation energy (no corrections), the calculation gives -1.22 eV/atom. As for the electronic total energy: -15.973 eV for the cell shown. The value obtained for the size of the total moment is 0.000 μB per cell. The calculation puts the density of states at the Fermi level at 1.591 states/eV/cell.

***

Compound: Ba2SbTe
Source: Alexandria via LeMat-Bulk
Functional: PBE
Structure: optimized geometry

The structure in CIF format:
```
data_Ba2SbTe
_chemical_formula_sum 'Ba4 Sb2 Te2'
_cell_length_a 8.390
_cell_length_b 4.856
_cell_length_c 9.208
_cell_angle_alpha 90.00
_cell_angle_beta 107.77
_cell_angle_gamma 90.00
_space_group_name_H-M_alt 'C 1 2/m 1'
_space_group_IT_number 12
loop_
_space_group_symop_operation_xyz
'x,y,z'
'-x,-y,-z'
'-x,y,-z'
'x,-y,z'
'x+1/2,y+1/2,z'
'-x+1/2,-y+1/2,-z'
'-x+1/2,y+1/2,-z'
'x+1/2,-y+1/2,z'
loop_
_atom_site_label
_atom_site_type_symbol
_atom_site_fract_x
_atom_site_fract_y
_atom_site_fract_z
Ba1 Ba 0.247 0.000 0.241
Sb1 Sb 0.000 0.000 0.500
Te1 Te 0.000 0.500 0.000
```

Calculated values
For the formation energy (no corrections), the calculation gives -1.23 eV/atom. As for the electronic total energy: -32.033 eV for the cell shown. The value obtained for the size of the total moment is 0.002 μB per cell. The calculation puts the density of states at the Fermi level at 6.368 states/eV/cell.

***

Compound: BaSbTe2
Source: Alexandria via LeMat-Bulk
Functional: PBE
Structure: optimized geometry

The structure in CIF format:
```
data_BaSbTe2
_chemical_formula_sum 'Ba3 Sb3 Te6'
_cell_length_a 4.9634
_cell_length_b 4.9634
_cell_length_c 28.9845
_cell_angle_alpha 90.00
_cell_angle_beta 90.00
_cell_angle_gamma 120.00
_space_group_name_H-M_alt 'R -3 m'
_space_group_IT_number 166
_space_group_name_Hall '-R 3 2"'
loop_
_atom_site_label
_atom_site_type_symbol
_atom_site_fract_x
_atom_site_fract_y
_atom_site_fract_z
Ba1 Ba 0.0000 0.0000 0.0000
Sb1 Sb 0.0000 0.0000 0.5000
Te1 Te 0.0000 0.0000 0.4014
```

Calculated values
For the formation energy (no corrections), the calculation gives -0.39 eV/atom. As for the electronic total energy: -41.678 eV for the cell shown. The value obtained for the size of the total moment is 0.001 μB per cell. The calculation puts the density of states at the Fermi level at 10.142 states/eV/cell.